LiScHg2 | PBEsol | relaxed

Summary:
- magnetization (μB per cell) = 0.00
- volume (Å³ per atom) = 18.5
- polymorph energy (0 for the lowest one) (meV/atom) = 87
- formation enthalpy at 0 K (eV per atom) = -0.40

Cell lengths 4.716, 4.716, 4.716 Å; angles 60.00, 60.00, 60.00 degrees
Sites, in units of the cell vectors:
Sc: 0.250 0.250 0.250
Hg: 0.000 0.000 0.000
Hg: 0.750 0.750 0.750
Li: 0.500 0.500 0.500

***

LiScHg2 | PBEsol | relaxed

Summary:
- magnetization (μB per cell) = 0.00
- volume (Å³ per atom) = 19.6
- polymorph energy (0 for the lowest one) (meV/atom) = 16
- formation enthalpy at 0 K (eV per atom) = -0.48

Cell lengths 3.286, 4.886, 4.885 Å; angles 90.00, 90.00, 90.00 degrees
Sites, in units of the cell vectors:
Hg: 0.000 0.500 0.625
Li: 0.500 0.000 0.625
Hg: 0.000 0.000 0.124
Sc: 0.500 0.500 0.125

***

LiScHg | PBEsol | relaxed

Summary:
- magnetization (μB per cell) = 0.01
- volume (Å³ per atom) = 20.1
- polymorph energy (0 for the lowest one) (meV/atom) = 0
- formation enthalpy at 0 K (eV per atom) = 0.02

Cell lengths 4.401, 4.401, 4.401 Å; angles 60.00, 60.00, 60.00 degrees
Sites, in units of the cell vectors:
Li: 0.250 0.250 0.250
Hg: 0.500 0.500 0.500
Sc: 0.000 0.000 0.000

***

LiSc2Hg | PBEsol | relaxed

Summary:
- magnetization (μB per cell) = 0.00
- volume (Å³ per atom) = 20.4
- formation enthalpy at 0 K (eV per atom) = -0.19

Cell lengths 3.465, 3.465, 6.796 Å; angles 90.00, 90.00, 90.00 degrees
Sites, in units of the cell vectors:
Sc: 0.000 0.000 0.256
Hg: 0.500 0.500 0.000
Li: 0.500 0.500 0.500
Sc: 0.000 0.000 0.744

***

LiScHg2 | PBEsol | relaxed

Summary:
- magnetization (μB per cell) = 0.00
- volume (Å³ per atom) = 21.0
- polymorph energy (0 for the lowest one) (meV/atom) = 201
- formation enthalpy at 0 K (eV per atom) = -0.29

Cell lengths 3.371, 3.371, 8.740 Å; angles 78.88, 78.88, 60.00 degrees
Sites, in units of the cell vectors:
Hg: 0.247 0.247 0.259
Li: 0.500 0.500 0.500
Hg: 0.753 0.753 0.741
Sc: 0.000 0.000 0.000

***

LiSc2Hg | PBEsol | relaxed

Summary:
- magnetization (μB per cell) = 0.00
- volume (Å³ per atom) = 20.2
- formation enthalpy at 0 K (eV per atom) = -0.26

Cell lengths 3.557, 4.766, 4.766 Å; angles 90.00, 90.00, 90.00 degrees
Sites, in units of the cell vectors:
Sc: 0.000 0.500 0.000
Li: 0.500 0.500 0.500
Sc: 0.000 0.000 0.500
Hg: 0.500 0.000 0.000

***

Li3HgSe | PBEsol | relaxed

Summary:
- magnetization (μB per cell) = 0.00
- volume (Å³ per atom) = 21.8
- formation energy from raw total energies (meV/atom) = -637

Cell lengths 4.774, 4.774, 4.774 Å; angles 90.00, 90.00, 90.00 degrees
Sites, in units of the cell vectors:
Hg: 0.500 0.500 0.500
Se: 0.000 0.000 0.000
Li: 0.500 0.000 0.000
Li: 0.000 0.500 0.000
Li: 0.000 0.000 0.500

***

LiTiHg2Se | PBEsol | relaxed

Summary:
- magnetization (μB per cell) = 2.12
- volume (Å³ per atom) = 20.7
- formation energy from raw total energies (meV/atom) = 163

Cell lengths 4.565, 4.756, 4.756 Å; angles 90.00, 90.00, 90.00 degrees
Each line ends with the local moment (μB).
Sites, in units of the cell vectors:
Se: 0.500 0.000 0.000  -0.03
Ti: 0.500 0.500 0.500  1.67
Li: 0.000 0.000 0.000  0.00
Hg: 0.000 0.500 0.000  0.01
Hg: 0.000 0.000 0.500  0.01

***

Li2YHgSe | PBEsol | relaxed

Summary:
- magnetization (μB per cell) = 0.00
- volume (Å³ per atom) = 24.7
- formation energy from raw total energies (meV/atom) = -128

Cell lengths 4.477, 4.477, 6.149 Å; angles 90.00, 90.00, 90.00 degrees
Sites, in units of the cell vectors:
Hg: 0.000 0.000 0.000
Li: 0.000 0.500 0.000
Se: 0.000 0.000 0.500
Y: 0.500 0.500 0.500
Li: 0.500 0.000 0.000

***

LiSiHg2 | PBEsol | relaxed

Summary:
- magnetization (μB per cell) = 0.00
- volume (Å³ per atom) = 20.3
- formation energy from raw total energies (meV/atom) = 99

Cell lengths 4.306, 4.306, 9.278 Å; angles 103.42, 103.42, 90.00 degrees
Sites, in units of the cell vectors:
Hg: 0.879 0.375 0.250
Li: 0.750 0.250 0.500
Si: 0.250 0.750 0.500
Si: 0.000 0.000 0.000
Hg: 0.125 0.121 0.750
Hg: 0.371 0.875 0.250
Li: 0.500 0.500 0.000
Hg: 0.625 0.629 0.750

***

LiSiHg2 | PBEsol | relaxed

Summary:
- magnetization (μB per cell) = 0.00
- volume (Å³ per atom) = 18.6
- formation energy from raw total energies (meV/atom) = 16

Cell lengths 3.255, 4.073, 5.598 Å; angles 90.00, 90.00, 90.00 degrees
Sites, in units of the cell vectors:
Hg: 0.000 0.000 0.967
Hg: 0.500 0.500 0.282
Li: 0.000 0.000 0.491
Si: 0.500 0.500 0.761

***

Li3SiHg | PBEsol | relaxed

Summary:
- magnetization (μB per cell) = 0.00
- volume (Å³ per atom) = 21.6
- formation energy from raw total energies (meV/atom) = 120

Cell lengths 4.759, 4.759, 4.759 Å; angles 90.00, 90.00, 90.00 degrees
Sites, in units of the cell vectors:
Li: 0.500 0.000 0.000
Li: 0.000 0.500 0.000
Si: 0.000 0.000 0.000
Li: 0.000 0.000 0.500
Hg: 0.500 0.500 0.500

***

> Which formula does entry 7 have?

Li3HgSe

***

What did the first record say?
LiScHg2 | PBEsol | relaxed

Summary:
- magnetization (μB per cell) = 0.00
- volume (Å³ per atom) = 18.5
- polymorph energy (0 for the lowest one) (meV/atom) = 87
- formation enthalpy at 0 K (eV per atom) = -0.40

Cell lengths 4.716, 4.716, 4.716 Å; angles 60.00, 60.00, 60.00 degrees
Sites, in units of the cell vectors:
Sc: 0.250 0.250 0.250
Hg: 0.000 0.000 0.000
Hg: 0.750 0.750 0.750
Li: 0.500 0.500 0.500

***

What did the twelfth record say?
Li3SiHg | PBEsol | relaxed

Summary:
- magnetization (μB per cell) = 0.00
- volume (Å³ per atom) = 21.6
- formation energy from raw total energies (meV/atom) = 120

Cell lengths 4.759, 4.759, 4.759 Å; angles 90.00, 90.00, 90.00 degrees
Sites, in units of the cell vectors:
Li: 0.500 0.000 0.000
Li: 0.000 0.500 0.000
Si: 0.000 0.000 0.000
Li: 0.000 0.000 0.500
Hg: 0.500 0.500 0.500